1.
Compound: ZrTc2Rh2
Source: Alexandria
Functional: PBE
Structure: optimized geometry

a b c (Å): 7.658 7.658 2.736
angles (deg): 90.00 90.00 90.00
Space group P4/mbm (No. 127)
Asymmetric unit:
Zr (0.000, 0.000, 0.000) (multiplicity 2)
Tc (0.174, 0.326, 0.500) (multiplicity 4)
Rh (0.122, 0.622, 0.000) (multiplicity 4)

Values from the calculation:
relative energy among the computed polymorphs: 0.0319 eV per atom
DFT total energy: -8.9123 eV/atom
theoretical density: 10.2 g/cm³
energy of formation: -0.6 eV per formula unit
magnetization: 0.00 μB per formula unit


2.
Compound: CaVHN2
Source: Alexandria
Functional: PBE
Structure: optimized geometry

a b c (Å): 3.844 3.844 3.567
angles (deg): 90.00 90.00 90.00
Space group P4/mmm (No. 123)
Asymmetric unit:
Ca (0.000, 0.000, 0.000) (multiplicity 1)
V (0.500, 0.500, 0.500) (multiplicity 1)
H (0.500, 0.500, 0.000) (multiplicity 1)
N (0.000, 0.500, 0.500) (multiplicity 2)

Values from the calculation:
DFT total energy: -6.9227 eV/atom
theoretical density: 3.8 g/cm³
magnetization: 0.03 μB per formula unit


3.
Compound: KTl10In3
Source: Alexandria
Functional: PBE
Structure: optimized geometry

a b c (Å): 15.665 15.665 15.665
angles (deg): 90.00 90.00 90.00
Space group Fm-3m (No. 225)
Asymmetric unit:
K (0.250, 0.250, 0.250) (multiplicity 8)
Tl (0.000, 0.177, 0.177) (multiplicity 48)
Tl (0.119, 0.119, 0.381) (multiplicity 32)
In (0.000, 0.000, 0.267) (multiplicity 24)

Values from the calculation:
DFT total energy: -2.2744 eV/atom
theoretical density: 8.4 g/cm³
energy of formation: 1.1 eV per formula unit
magnetization: 0.00 μB per formula unit


4.
Compound: LaHfTe2
Source: Alexandria
Functional: PBE
Structure: optimized geometry

a b c (Å): 7.474 7.474 7.474
angles (deg): 90.00 90.00 90.00
Space group Fm-3m (No. 225)
Asymmetric unit:
La (0.000, 0.000, 0.000) (multiplicity 4)
Hf (0.000, 0.000, 0.500) (multiplicity 4)
Te (0.250, 0.250, 0.250) (multiplicity 8)

Values from the calculation:
relative energy among the computed polymorphs: 0.0000 eV per atom
DFT total energy: -6.1435 eV/atom
ΔE_f (raw): -0.85 eV per atom
theoretical density: 9.1 g/cm³
magnetization: 0.00 μB per formula unit


5.
Compound: LiMg3Pb12
Source: Alexandria
Functional: PBE
Structure: optimized geometry

a b c (Å): 4.819 4.819 20.014
angles (deg): 90.00 90.00 90.00
Space group P4/mmm (No. 123)
Asymmetric unit:
Li (0.000, 0.000, 0.000) (multiplicity 1)
Mg (0.000, 0.000, 0.247) (multiplicity 2)
Mg (0.000, 0.000, 0.500) (multiplicity 1)
Pb (0.000, 0.500, 0.123) (multiplicity 4)
Pb (0.000, 0.500, 0.374) (multiplicity 4)
Pb (0.500, 0.500, 0.000) (multiplicity 1)
Pb (0.500, 0.500, 0.249) (multiplicity 2)
Pb (0.500, 0.500, 0.500) (multiplicity 1)

Values from the calculation:
DFT total energy: -3.2302 eV/atom
theoretical density: 9.2 g/cm³
energy of formation: -0.5 eV per formula unit
magnetization: 0.00 μB per formula unit


6.
Compound: La4In2Ru
Source: Alexandria
Functional: PBE
Structure: optimized geometry

a b c (Å): 7.475 7.116 8.652
angles (deg): 90.00 111.08 90.00
Space group P2_1/m (No. 11)
Asymmetric unit:
La (0.130, 0.017, 0.307) (multiplicity 4)
La (0.294, 0.250, 0.925) (multiplicity 2)
La (0.325, 0.750, 0.672) (multiplicity 2)
In (0.219, 0.750, 0.014) (multiplicity 2)
In (0.479, 0.250, 0.623) (multiplicity 2)
Ru (0.099, 0.250, 0.607) (multiplicity 2)

Values from the calculation:
relative energy among the computed polymorphs: 0.0000 eV per atom
DFT total energy: -5.2989 eV/atom
theoretical density: 6.9 g/cm³
energy of formation: -2.6 eV per formula unit
magnetization: 0.00 μB per formula unit


7.
Compound: PmNd3Tc
Source: Alexandria
Functional: PBE
Structure: optimized geometry

a b c (Å): 5.533 5.533 5.533
angles (deg): 90.00 90.00 90.00
Space group Pm-3m (No. 221)
Asymmetric unit:
Pm (0.000, 0.000, 0.000) (multiplicity 1)
Nd (0.000, 0.500, 0.500) (multiplicity 3)
Tc (0.500, 0.500, 0.500) (multiplicity 1)

Values from the calculation:
relative energy among the computed polymorphs: 0.1669 eV per atom
DFT total energy: -5.6805 eV/atom
theoretical density: 6.6 g/cm³
energy of formation: 1.0 eV per formula unit
magnetization: 0.58 μB per formula unit


8.
Compound: Te2MoBr
Source: Alexandria
Functional: PBE
Structure: optimized geometry

a b c (Å): 3.192 3.192 10.637
angles (deg): 90.00 90.00 90.00
Space group P4mm (No. 99)
Asymmetric unit:
Te (0.000, 0.000, 0.000) (multiplicity 1)
Te (0.500, 0.500, 0.339) (multiplicity 1)
Mo (0.500, 0.500, 0.840) (multiplicity 1)
Br (0.000, 0.000, 0.685) (multiplicity 1)

Values from the calculation:
relative energy among the computed polymorphs: 0.1645 eV per atom
DFT total energy: -4.6163 eV/atom
ΔE_f (raw): 0.08 eV per atom
theoretical density: 6.6 g/cm³
magnetization: 0.00 μB per formula unit


9.
Compound: Pr2Dy4Co
Source: Alexandria
Functional: PBE
Structure: optimized geometry

a b c (Å): 5.192 5.192 17.109
angles (deg): 90.00 90.00 90.00
Space group I4/mmm (No. 139)
Asymmetric unit:
Pr (0.000, 0.000, 0.142) (multiplicity 4)
Dy (0.000, 0.000, 0.345) (multiplicity 4)
Dy (0.000, 0.500, 0.000) (multiplicity 4)
Co (0.000, 0.000, 0.500) (multiplicity 2)

Values from the calculation:
DFT total energy: -4.8366 eV/atom
theoretical density: 7.1 g/cm³
energy of formation: 1.2 eV per formula unit
magnetization: 0.00 μB per formula unit


10.
Compound: CePr3N4
Source: Alexandria
Functional: PBE
Structure: optimized geometry

a b c (Å): 7.313 10.312 3.658
angles (deg): 90.00 90.00 90.00
Space group Cmmm (No. 65)
Asymmetric unit:
Ce (0.000, 0.000, 0.000) (multiplicity 2)
Pr (0.000, 0.500, 0.000) (multiplicity 2)
Pr (0.250, 0.250, 0.500) (multiplicity 4)
N (0.000, 0.241, 0.000) (multiplicity 4)
N (0.237, 0.000, 0.500) (multiplicity 4)

Values from the calculation:
DFT total energy: -8.0579 eV/atom
ΔE_f (raw): -1.36 eV per atom
theoretical density: 7.5 g/cm³
magnetization: 0.00 μB per formula unit


11.
Compound: BaCa4Cr
Source: Alexandria
Functional: PBE
Structure: optimized geometry

a b c (Å): 10.084 10.084 10.084
angles (deg): 90.00 90.00 90.00
Space group F-43m (No. 216)
Asymmetric unit:
Ba (0.000, 0.000, 0.000) (multiplicity 4)
Ca (0.124, 0.124, 0.624) (multiplicity 16)
Cr (0.250, 0.250, 0.250) (multiplicity 4)

Values from the calculation:
DFT total energy: -2.7646 eV/atom
theoretical density: 2.3 g/cm³
energy of formation: 3.0 eV per formula unit
magnetization: 4.92 μB per formula unit


12.
Compound: FeAg2Os
Source: Alexandria
Functional: PBE
Structure: optimized geometry

a b c (Å): 4.058 4.058 7.506
angles (deg): 90.00 90.00 90.00
Space group I-4m2 (No. 119)
Asymmetric unit:
Fe (0.000, 0.000, 0.000) (multiplicity 2)
Ag (0.000, 0.000, 0.500) (multiplicity 2)
Ag (0.000, 0.500, 0.250) (multiplicity 2)
Os (0.000, 0.500, 0.750) (multiplicity 2)

Values from the calculation:
relative energy among the computed polymorphs: 0.3908 eV per atom
DFT total energy: -5.6438 eV/atom
theoretical density: 12.4 g/cm³
energy of formation: 2.8 eV per formula unit
magnetization: 3.69 μB per formula unit